Material: SrBeCN2
Method: DFT, GGA-PBE
State: relaxed

Lattice parameters (Å, degrees): 3.505 5.248 3.505 90.00 90.00 90.00
Atoms (fractional coordinates):
N  0.500  0.000  0.000
N  0.000  0.000  0.500
Be  0.000  0.000  0.000
C  0.500  0.500  0.500
Sr  0.000  0.500  0.000

Summary:
As for the space group: P4/mmm, No. 123. The calculation puts the energy relative to the elements, uncorrected at 1630 meV/atom. The calculation puts the density at 3.5 g/cm3.